An optimized crystal structure of AcMnFe2O8. Source: Alexandria, functional PBE+U.

Cell lengths 6.161, 6.161, 6.161 Å; angles 105.86, 105.86, 116.96 degrees
Each line ends with the local moment (μB).
Element x y z (fractional)
O1 0.944 0.277 0.333  -0.07
Mn1 0.250 0.750 0.500  -4.62
O2 0.836 0.659 0.177  0.02
O3 0.723 0.056 0.667  -0.07
Fe1 0.500 0.500 0.000  1.84
O4 0.944 0.610 0.667  -0.07
Fe2 0.750 0.250 0.500  3.12
O5 0.390 0.056 0.333  -0.07
O6 0.341 0.518 0.177  0.02
O7 0.341 0.164 0.823  0.02
O8 0.482 0.659 0.823  0.02
Ac1 0.000 0.000 0.000  -0.02

Results
Its crystal system is tetragonal. The value obtained for the total magnetic moment is 0.004 μB/atom. The calculation puts the total DFT energy (no corrections) at -77.394 eV for the cell shown. The calculation puts the mass density at 4.88 Mg/m³. The calculation puts the volume at 177.7 Å³/cell.